Record 1
This record from Alexandria describes crystalline RbZrTi2Ga at its relaxed geometry. The functional is PBEsol.

Computed properties:
The calculation puts the density at 4.4 Mg/m³. The formation energy comes out at 985.5 meV/atom. The spin magnetization is 3.3 μB/f.u. As for the total energy: -5.03 eV per atom. The value obtained for the density of states at the Fermi level is 1.706 states/eV/atom.

abc: 4.9716 4.9716 5.2456
angles: 90.00 90.00 90.00
Last column: nearest neighbours and their distance in Å.
Atoms (fractional coordinates):
Rb1 0.0000 0.0000 0.0000  4 Zr 3.52, 8 Ti 3.61
Zr1 0.5000 0.5000 0.0000  2 Ga 2.62
Ti1 0.0000 0.5000 0.5000  2 Ga 2.49
Ti2 0.5000 0.0000 0.5000  2 Ga 2.49
Ga1 0.5000 0.5000 0.5000  4 Ti 2.49, 2 Zr 2.62

---

Record 2
This record from Alexandria describes crystalline KLiO at its relaxed geometry. The functional is PBEsol.

Computed properties:
Its formation energy (no corrections) is -1.440 eV/atom. The calculation puts the density at 2.4 Mg/m³. The spin magnetization is 0.0 μB/f.u. As for the total energy: -4.22 eV per atom. The value obtained for the density of states at the Fermi level is 0.000 states/eV/atom.

abc: 5.3368 5.3368 6.3925
angles: 90.00 90.00 73.07
Last column: nearest neighbours and their distance in Å.
Atoms (fractional coordinates):
K1 0.1762 0.1762 0.0000  4 O 2.79-2.83, 6 Li 2.93-3.00, 1 K 3.02
K2 0.3238 0.3238 0.5000  4 O 2.79-2.83, 6 Li 2.93-3.00, 1 K 3.02
K3 0.6762 0.6762 0.5000  4 O 2.79-2.83, 6 Li 2.93-3.00, 1 K 3.02
K4 0.8238 0.8238 0.0000  4 O 2.79-2.83, 6 Li 2.93-3.00, 1 K 3.02
Li1 0.1250 0.8750 0.6262  3 O 1.86-1.89
Li2 0.3750 0.6250 0.1262  3 O 1.86-1.89
Li3 0.6250 0.3750 0.8738  3 O 1.86-1.89
Li4 0.8750 0.1250 0.3738  3 O 1.86-1.89
O1 0.1702 0.8298 0.3333  3 Li 1.86-1.89
O2 0.3298 0.6702 0.8333  3 Li 1.86-1.89
O3 0.6702 0.3298 0.1667  3 Li 1.86-1.89
O4 0.8298 0.1702 0.6667  3 Li 1.86-1.89

---

Record 3
This record from Alexandria describes crystalline Zn2CuAu at its relaxed geometry. The functional is PBEsol.

Computed properties:
The calculation puts the density at 11.7 Mg/m³. The formation energy comes out at -150.8 meV/atom. The spin magnetization is 0.0 μB/f.u. As for the total energy: -3.01 eV per atom. The value obtained for the density of states at the Fermi level is 0.256 states/eV/atom.

abc: 4.0087 4.0087 3.4541
angles: 90.00 90.00 91.65
Last column: nearest neighbours and their distance in Å.
Atoms (fractional coordinates):
Zn1 0.0000 0.5000 0.0000  4 Cu 2.65, 4 Au 2.65, 4 Zn 2.79-2.88
Zn2 0.5000 0.0000 0.0000  4 Cu 2.65, 4 Au 2.65, 4 Zn 2.79-2.88
Cu1 0.0000 0.0000 0.5000  8 Zn 2.65, 4 Au 2.79-2.88
Au1 0.5000 0.5000 0.5000  8 Zn 2.65, 4 Cu 2.79-2.88

---

Record 4
This record from Alexandria describes crystalline Rb2TmAgCl6 at its relaxed geometry. The functional is PBEsol.

Computed properties:
Its formation energy (no corrections) is -1.800 eV/atom. The calculation puts the density at 3.9 Mg/m³. The spin magnetization is 0.0 μB/f.u. As for the total energy: -4.03 eV per atom. The value obtained for the density of states at the Fermi level is 0.000 states/eV/atom.

abc: 7.3754 7.3754 7.3754
angles: 60.00 60.00 60.00
Last column: nearest neighbours and their distance in Å.
Atoms (fractional coordinates):
Rb1 0.2500 0.2500 0.2500  12 Cl 3.69
Rb2 0.7500 0.7500 0.7500  12 Cl 3.69
Tm1 0.0000 0.0000 0.0000  6 Cl 2.56
Ag1 0.5000 0.5000 0.5000  6 Cl 2.65
Cl1 0.2455 0.2455 0.7545  1 Tm 2.56, 1 Ag 2.65
Cl2 0.2455 0.7545 0.2455  1 Tm 2.56, 1 Ag 2.65
Cl3 0.2455 0.7545 0.7545  1 Tm 2.56, 1 Ag 2.65
Cl4 0.7545 0.2455 0.2455  1 Tm 2.56, 1 Ag 2.65
Cl5 0.7545 0.2455 0.7545  1 Tm 2.56, 1 Ag 2.65
Cl6 0.7545 0.7545 0.2455  1 Tm 2.56, 1 Ag 2.65

---

Record 5
This record from Alexandria describes crystalline DyGe2Pt2 at its relaxed geometry. The functional is PBEsol.

Computed properties:
The calculation puts the density at 12.9 Mg/m³. The formation energy comes out at -897.7 meV/atom. The spin magnetization is 0.0 μB/f.u. As for the total energy: -6.65 eV per atom. The value obtained for the density of states at the Fermi level is 0.610 states/eV/atom.

abc: 4.2022 4.2022 10.2124
angles: 90.00 90.00 90.00
Last column: nearest neighbours and their distance in Å.
Atoms (fractional coordinates):
Dy1 0.2500 0.2500 0.2471  8 Ge 3.19-3.33, 8 Pt 3.22-3.28
Dy2 0.7500 0.7500 0.7529  8 Ge 3.19-3.33, 8 Pt 3.22-3.28
Ge1 0.2500 0.2500 0.8654  5 Pt 2.39-2.51
Ge2 0.2500 0.7500 0.5000  4 Pt 2.49
Ge3 0.7500 0.2500 0.5000  4 Pt 2.49
Ge4 0.7500 0.7500 0.1346  5 Pt 2.39-2.51
Pt1 0.2500 0.2500 0.6311  5 Ge 2.39-2.49
Pt2 0.2500 0.7500 0.0000  4 Ge 2.51
Pt3 0.7500 0.2500 0.0000  4 Ge 2.51
Pt4 0.7500 0.7500 0.3689  5 Ge 2.39-2.49

---

Record 6
This record from Alexandria describes crystalline MgTlPt2 at its relaxed geometry. The functional is PBEsol.

Computed properties:
The calculation puts the density at 15.1 Mg/m³. The formation energy comes out at -335.4 meV/atom. The spin magnetization is 0.0 μB/f.u. As for the total energy: -4.90 eV per atom. The value obtained for the density of states at the Fermi level is 0.290 states/eV/atom.

abc: 2.9553 2.9553 7.7829
angles: 90.00 90.00 90.00
Last column: nearest neighbours and their distance in Å.
Atoms (fractional coordinates):
Mg1 0.0000 0.0000 0.0000  8 Pt 2.75, 4 Mg 2.96
Tl1 0.0000 0.0000 0.5000  4 Tl 2.96, 8 Pt 2.96
Pt1 0.5000 0.5000 0.2298  4 Mg 2.75, 4 Pt 2.96, 4 Tl 2.96
Pt2 0.5000 0.5000 0.7702  4 Mg 2.75, 4 Pt 2.96, 4 Tl 2.96

---

Record 7
This record from Alexandria describes crystalline TaHgP2 at its relaxed geometry. The functional is PBEsol.

Computed properties:
The calculation puts the density at 10.2 Mg/m³. The formation energy comes out at 413.2 meV/atom. The spin magnetization is 0.0 μB/f.u. As for the total energy: -5.76 eV per atom. The value obtained for the density of states at the Fermi level is 0.557 states/eV/atom.

abc: 9.9412 9.9412 9.9412
angles: 16.89 16.89 16.89
Last column: nearest neighbours and their distance in Å.
Atoms (fractional coordinates):
Ta1 0.0000 0.0000 0.0000  3 P 2.62, 6 Ta 2.92
Hg1 0.7509 0.7509 0.7509  3 P 2.89, 6 Hg 2.92, 3 Ta 3.00
P1 0.2651 0.2651 0.2651  3 Ta 2.62, 6 P 2.92
P2 0.4973 0.4973 0.4973  3 Hg 2.89, 6 P 2.92

---

Record 8
This record from Alexandria describes crystalline LaRu2Pt at its relaxed geometry. The functional is PBEsol.

Computed properties:
The calculation puts the density at 12.8 Mg/m³. The formation energy comes out at 44.2 meV/atom. The spin magnetization is 0.0 μB/f.u. The energy above the most stable polymorph in this dataset comes out at 0.0 meV/atom. As for the total energy: -8.12 eV per atom. The value obtained for the density of states at the Fermi level is 1.056 states/eV/atom.

abc: 2.8952 4.5415 5.3801
angles: 90.00 100.92 90.00
Last column: nearest neighbours and their distance in Å.
Atoms (fractional coordinates):
La1 0.0000 0.0000 0.0000  1 Ru 2.59, 2 La 2.90
Ru1 0.2214 0.5000 0.6515  2 Pt 2.63-2.67, 6 Ru 2.65-2.91
Ru2 0.5891 0.0000 0.5278  1 La 2.59, 4 Ru 2.65-2.90, 2 Pt 2.77
Pt1 0.5599 0.5000 0.2315  4 Ru 2.63-2.77, 2 Pt 2.90, 2 La 2.93

---

Record 9
This record from Alexandria describes crystalline Be3PdS at its relaxed geometry. The functional is PBEsol.

Computed properties:
Its formation energy (no corrections) is 0.458 eV/atom. The calculation puts the density at 4.4 Mg/m³. The spin magnetization is 0.0 μB/f.u. As for the total energy: -4.01 eV per atom. The value obtained for the density of states at the Fermi level is 0.352 states/eV/atom.

abc: 3.9780 3.9780 3.9780
angles: 90.00 90.00 90.00
Last column: nearest neighbours and their distance in Å.
Atoms (fractional coordinates):
Be1 0.0000 0.0000 0.5000  2 S 1.99
Be2 0.0000 0.5000 0.0000  2 S 1.99
Be3 0.5000 0.0000 0.0000  2 S 1.99
Pd1 0.5000 0.5000 0.5000  12 Be 2.81
S1 0.0000 0.0000 0.0000  6 Be 1.99

---

Record 10
This record from Alexandria describes crystalline Ba2Al at its relaxed geometry. The functional is PBEsol.

Computed properties:
The calculation puts the density at 4.8 Mg/m³. The formation energy comes out at 67.4 meV/atom. The spin magnetization is 0.0 μB/f.u. As for the total energy: -2.73 eV per atom. The value obtained for the density of states at the Fermi level is 0.405 states/eV/atom.

abc: 5.8166 5.8166 3.5342
angles: 90.00 90.00 120.00
Last column: nearest neighbours and their distance in Å.
Atoms (fractional coordinates):
Ba1 0.3333 0.6667 0.0000  5 Ba 3.36-3.53
Ba2 0.6667 0.3333 0.0000  5 Ba 3.36-3.53
Al1 0.0000 0.0000 0.5000  2 Al 3.53, 12 Ba 3.79

---

Record 11
This record from Alexandria describes crystalline YTl at its relaxed geometry. The functional is PBEsol.

Computed properties:
The calculation puts the density at 9.2 Mg/m³. The formation energy comes out at -437.5 meV/atom. The spin magnetization is 0.0 μB/f.u. As for the total energy: -5.16 eV per atom. The value obtained for the density of states at the Fermi level is 0.503 states/eV/atom.

abc: 6.6881 5.0008 6.3154
angles: 90.00 90.00 90.00
Last column: nearest neighbours and their distance in Å.
Atoms (fractional coordinates):
Y1 0.1372 0.2500 0.1343  6 Tl 3.06-3.31
Y2 0.3628 0.7500 0.6343  6 Tl 3.06-3.31
Y3 0.6372 0.2500 0.3657  6 Tl 3.06-3.31
Y4 0.8628 0.7500 0.8657  6 Tl 3.06-3.31
Tl1 0.0982 0.2500 0.6312  6 Y 3.06-3.31, 2 Tl 3.27
Tl2 0.4018 0.7500 0.1312  6 Y 3.06-3.31, 2 Tl 3.27
Tl3 0.5982 0.2500 0.8688  6 Y 3.06-3.31, 2 Tl 3.27
Tl4 0.9018 0.7500 0.3688  6 Y 3.06-3.31, 2 Tl 3.27

---

Record 12
This record from Alexandria describes crystalline Na2P2Au at its relaxed geometry. The functional is PBEsol.

Computed properties:
The calculation puts the density at 5.4 Mg/m³. The formation energy comes out at -317.4 meV/atom. The spin magnetization is 0.0 μB/f.u. The energy above the most stable polymorph in this dataset comes out at 0.0 meV/atom. As for the total energy: -3.98 eV per atom. The value obtained for the density of states at the Fermi level is 0.281 states/eV/atom.

abc: 6.3618 6.3618 4.6370
angles: 90.00 90.00 90.00
Last column: nearest neighbours and their distance in Å.
Atoms (fractional coordinates):
Na1 0.1771 0.3229 0.0000  6 P 2.93-3.03, 1 Na 3.19
Na2 0.3229 0.8229 0.0000  6 P 2.93-3.03, 1 Na 3.19
Na3 0.6771 0.1771 0.0000  6 P 2.93-3.03, 1 Na 3.19
Na4 0.8229 0.6771 0.0000  6 P 2.93-3.03, 1 Na 3.19
P1 0.1245 0.6245 0.5000  1 P 2.24
P2 0.3755 0.1245 0.5000  1 P 2.24
P3 0.6245 0.8755 0.5000  1 P 2.24
P4 0.8755 0.3755 0.5000  1 P 2.24
Au1 0.0000 0.0000 0.5000  4 P 2.52
Au2 0.5000 0.5000 0.5000  4 P 2.52

---

Question: The highest spin magnetization belongs to which entry?
Answer: RbZrTi2Ga